# 1
## KScP2 (SCAN)

Data for KScP2 at its PBEsol-relaxed geometry.

## Properties
Total energy in eV/cell: -44.5
Symmetry: Cmmm, No. 65
Offset from the most stable computed form in eV/atom: 0.323

```
KScP2
1.0
3.556 -3.860 0.000
3.556 3.860 0.000
0.000 0.000 2.799
K Sc P
1 1 2
Direct
0.000 0.000 0.000
0.500 0.500 0.000
0.000 0.500 0.500
0.500 0.000 0.500
```

=====

# 2
## K2ScP2 (SCAN)

Data for K2ScP2 at its PBEsol-relaxed geometry.

## Properties
Total energy in eV/cell: -49.6
Symmetry: I4/mmm, No. 139

```
K2ScP2
1.0
-2.699 2.699 4.409
2.699 -2.699 4.409
2.699 2.699 -4.409
K Sc P
2 1 2
Direct
0.146 0.146 0.000
0.854 0.854 0.000
0.500 0.500 0.000
0.250 0.750 0.500
0.750 0.250 0.500
```

=====

# 3
## KSc2P (SCAN)

Data for KSc2P at its PBEsol-relaxed geometry.

## Properties
Total energy in eV/cell: -48.8
Symmetry: Imm2, No. 44

```
KSc2P
1.0
-1.737 1.904 8.659
1.737 -1.904 8.659
1.737 1.904 -8.659
K Sc P
1 2 1
Direct
0.000 0.000 0.000
0.319 0.319 0.000
0.683 0.183 0.500
0.197 0.697 0.500
```